[1]
## NaCr2Ge2 (GGA-PBE)

Data for a relaxed structure of NaCr2Ge2.

Cell: 5.1387 5.1387 5.1387 Å, 126.48 126.48 79.11°
Fractional coordinates of all 5 atoms:
Na1 0.0000 0.0000 0.0000
Cr1 0.3778 0.3778 0.0000
Cr2 0.6222 0.6222 0.0000
Ge1 0.2500 0.7500 0.5000
Ge2 0.7500 0.2500 0.5000

Computed properties:
Crystal system ... tetragonal
Energy above the lowest structure with this stoichiometry ... 0.91 eV/f.u.
ΔE_f ... 0.33 eV per atom
ρ ... 5328 kg/m3
D(E_F) ... 3.470 states/eV per cell

---

[2]
## NaCr3Ge (GGA-PBE)

Data for a relaxed structure of NaCr3Ge.

Cell: 4.9144 4.9144 4.9144 Å, 90.00 90.00 90.00°
Fractional coordinates of all 5 atoms:
Na1 0.0000 0.0000 0.0000
Cr1 0.0000 0.5000 0.5000
Cr2 0.5000 0.0000 0.5000
Cr3 0.5000 0.5000 0.0000
Ge1 0.5000 0.5000 0.5000

Computed properties:
Crystal system ... cubic
Energy above the lowest structure with this stoichiometry ... 0.00 eV/f.u.
ΔE_f ... 0.92 eV per atom
ρ ... 3520 kg/m3
D(E_F) ... 2.629 states/eV per cell

---

[3]
## NaCrGe2 (GGA-PBE)

Data for a relaxed structure of NaCrGe2.

Cell: 9.0991 9.0991 9.0991 Å, 18.87 18.87 18.87°
Fractional coordinates of all 4 atoms:
Na1 0.0000 0.0000 0.0000
Cr1 0.5000 0.5000 0.5000
Ge1 0.2383 0.2383 0.2383
Ge2 0.7617 0.7617 0.7617

Computed properties:
Crystal system ... trigonal
Energy above the lowest structure with this stoichiometry ... 0.00 eV/f.u.
ΔE_f ... 0.12 eV per atom
ρ ... 5310 kg/m3
D(E_F) ... 1.777 states/eV per cell

---

[4]
## NaCr2Ge2 (GGA-PBE)

Data for a relaxed structure of NaCr2Ge2.

Cell: 6.3990 6.3990 6.3990 Å, 146.27 146.27 48.45°
Fractional coordinates of all 5 atoms:
Na1 0.0000 0.0000 0.0000
Cr1 0.2500 0.7500 0.5000
Cr2 0.7500 0.2500 0.5000
Ge1 0.3898 0.3898 0.0000
Ge2 0.6102 0.6102 0.0000

Computed properties:
Crystal system ... tetragonal
Energy above the lowest structure with this stoichiometry ... 0.07 eV/f.u.
ΔE_f ... 0.16 eV per atom
ρ ... 5619 kg/m3
D(E_F) ... 2.144 states/eV per cell

---

[5]
## NaCrGe (GGA-PBE)

Data for a relaxed structure of NaCrGe.

Cell: 3.0184 3.0184 11.9484 Å, 90.00 90.10 90.00°
Fractional coordinates of all 6 atoms:
Na1 0.2470 0.2500 0.1351
Na2 0.7530 0.7500 0.8649
Cr1 0.2497 0.2500 0.4515
Cr2 0.7503 0.7500 0.5485
Ge1 0.2512 0.2500 0.6774
Ge2 0.7488 0.7500 0.3226

Computed properties:
Crystal system ... monoclinic
Energy above the lowest structure with this stoichiometry ... 0.00 eV/f.u.
ΔE_f ... 0.01 eV per atom
ρ ... 4504 kg/m3
D(E_F) ... 4.472 states/eV per cell

---

[6]
## NaCrGe2 (GGA-PBE)

Data for a relaxed structure of NaCrGe2.

Cell: 8.7974 8.7974 8.7974 Å, 145.48 145.48 49.62°
Fractional coordinates of all 8 atoms:
Na1 0.0000 0.0000 0.0000
Na2 0.7500 0.2500 0.5000
Cr1 0.2500 0.7500 0.5000
Cr2 0.5000 0.5000 0.0000
Ge1 0.3393 0.6250 0.2143
Ge2 0.3750 0.5893 0.7143
Ge3 0.4107 0.1250 0.7857
Ge4 0.8750 0.6607 0.2857

Computed properties:
Crystal system ... tetragonal
Energy above the lowest structure with this stoichiometry ... 0.98 eV/f.u.
ΔE_f ... 0.37 eV per atom
ρ ... 3361 kg/m3
D(E_F) ... 4.466 states/eV per cell

---

[7]
## NaCr3Ge (GGA-PBE)

Data for a relaxed structure of NaCr3Ge.

Cell: 4.8767 4.8767 4.8767 Å, 90.00 90.00 90.00°
Fractional coordinates of all 5 atoms:
Na1 0.0000 0.0000 0.0000
Cr1 0.0000 0.0000 0.5000
Cr2 0.0000 0.5000 0.0000
Cr3 0.5000 0.0000 0.0000
Ge1 0.5000 0.5000 0.5000

Computed properties:
Crystal system ... cubic
Energy above the lowest structure with this stoichiometry ... 4.82 eV/f.u.
ΔE_f ... 1.89 eV per atom
ρ ... 3603 kg/m3
D(E_F) ... 4.120 states/eV per cell

---

[8]
## NaCrGe (GGA-PBE)

Data for a relaxed structure of NaCrGe.

Cell: 11.2469 11.2469 2.8073 Å, 96.52 96.52 20.03°
Fractional coordinates of all 6 atoms:
Na1 0.1825 0.1825 0.1862
Na2 0.8175 0.8175 0.8138
Cr1 0.0434 0.0434 0.0488
Cr2 0.9566 0.9566 0.9512
Ge1 0.4203 0.4203 0.4162
Ge2 0.5797 0.5797 0.5838

Computed properties:
Crystal system ... monoclinic
Energy above the lowest structure with this stoichiometry ... 0.62 eV/f.u.
ΔE_f ... 0.22 eV per atom
ρ ... 4058 kg/m3
D(E_F) ... 3.515 states/eV per cell